This record from Alexandria describes crystalline LaBAs2H at its relaxed geometry. The functional is GGA-PBE.

Properties
For the density of states at the Fermi level, the calculation gives 2.5 states/eV per cell. The calculation puts the magnetic moment at 0.00 μB per cell. For the total energy, the calculation gives -23.69 eV per cell.

abc: 4.487 4.487 4.297
angles: 90.00 90.00 90.00
Space group P4/mmm (No. 123)
One atom of each set of equivalent atoms:
La: 0.000 0.000 0.000 x1
B: 0.500 0.500 0.500 x1
As: 0.000 0.500 0.500 x2
H: 0.500 0.500 0.000 x1